Computed, not measured: a relaxed KBe crystal at the PBE-GGA level of DFT.

Geometry as extended XYZ:
```
2
Lattice="-0.0099 -1.6571 -5.3734 -2.0446 -4.1693 -3.1712 -3.6374 -0.7545 -4.2214" Properties=species:S:1:pos:R:3 pbc="T T T"
Be 0.0000 0.0000 0.0000
K -2.8459 -3.2904 -6.3830
```

## Properties
Polymorph energy (0 for the lowest one)   69.9 kJ per mole of atoms
Formation energy   1.3082 eV per atom
Space group   No. 166
Electronic total energy   -1.10 eV/atom